Entry 1:
# LuInOs2, relaxed, DFT PBE
# Total magnetic moment ... 0.6 μB per cell
# SG ... F-43m, No. 216
# Electronic total energy ... -28.2 eV per formula unit
data_LuInOs2
_chemical_formula_sum 'Lu1 In1 Os2'
_symmetry_space_group_name_H-M 'P 1'
_symmetry_Int_Tables_number 1
_symmetry_space_group_name_Hall 'P 1'
_cell_length_a 4.6660
_cell_length_b 4.6660
_cell_length_c 4.6660
_cell_angle_alpha 60.00
_cell_angle_beta 60.00
_cell_angle_gamma 60.00
loop_
_atom_site_label
_atom_site_type_symbol
_atom_site_fract_x
_atom_site_fract_y
_atom_site_fract_z
_atom_site_occupancy
In1 In 0.5000 0.5000 0.5000 1
Lu1 Lu 0.2500 0.2500 0.2500 1
Os1 Os 0.0000 0.0000 0.0000 1
Os2 Os 0.7500 0.7500 0.7500 1

Entry 2:
# Lu2InOs, relaxed, DFT PBE
# Total magnetic moment ... 0.0 μB per cell
# SG ... F-43m, No. 216
# Electronic total energy ... -23.4 eV per formula unit
data_Lu2InOs
_chemical_formula_sum 'Lu2 In1 Os1'
_symmetry_space_group_name_H-M 'P 1'
_symmetry_Int_Tables_number 1
_symmetry_space_group_name_Hall 'P 1'
_cell_length_a 4.8663
_cell_length_b 4.8663
_cell_length_c 4.8663
_cell_angle_alpha 60.00
_cell_angle_beta 60.00
_cell_angle_gamma 60.00
loop_
_atom_site_label
_atom_site_type_symbol
_atom_site_fract_x
_atom_site_fract_y
_atom_site_fract_z
_atom_site_occupancy
In1 In 0.5000 0.5000 0.5000 1
Lu1 Lu 0.0000 0.0000 0.0000 1
Lu2 Lu 0.7500 0.7500 0.7500 1
Os1 Os 0.2500 0.2500 0.2500 1

Entry 3:
# Lu2Sc2In5Os2, relaxed, DFT PBE
# Total magnetic moment ... 0.0 μB per cell
# SG ... P2/m, No. 10
# Electronic total energy ... -61.5 eV per formula unit
data_Lu2Sc2In5Os2
_chemical_formula_sum 'Lu2 Sc2 In5 Os2'
_symmetry_space_group_name_H-M 'P 1'
_symmetry_Int_Tables_number 1
_symmetry_space_group_name_Hall 'P 1'
_cell_length_a 7.6526
_cell_length_b 3.3818
_cell_length_c 9.5510
_cell_angle_alpha 90.00
_cell_angle_beta 94.67
_cell_angle_gamma 90.00
loop_
_atom_site_label
_atom_site_type_symbol
_atom_site_fract_x
_atom_site_fract_y
_atom_site_fract_z
_atom_site_occupancy
In1 In 0.5000 0.0000 0.0000 1
In2 In 0.1632 0.0000 0.1421 1
In3 In 0.5487 0.0000 0.3220 1
In4 In 0.4513 0.0000 0.6780 1
In5 In 0.8368 0.0000 0.8579 1
Lu1 Lu 0.2144 0.5000 0.4419 1
Lu2 Lu 0.7856 0.5000 0.5581 1
Os1 Os 0.9251 0.0000 0.3545 1
Os2 Os 0.0749 0.0000 0.6455 1
Sc1 Sc 0.8214 0.5000 0.1508 1
Sc2 Sc 0.1786 0.5000 0.8492 1